An optimized crystal structure of ZrZn2Cr. Source: Alexandria, functional GGA-PBE.

Unit cell a=4.570 b=4.570 c=4.570 alpha=60.00 beta=60.00 gamma=60.00
Element x y z (fractional)
1 Zr 0.000 0.000 0.000
2 Zn 0.250 0.250 0.250
3 Zn 0.500 0.500 0.500
4 Cr 0.750 0.750 0.750

Values from the calculation:
Its theoretical density is 6742 kg/m3. Its excess energy over the best structure of this formula in the dataset is 164 meV/atom. Its total magnetic moment is 4.180 μB per cell.


An optimized crystal structure of Zr2ZnCr. Source: Alexandria, functional GGA-PBE.

Unit cell a=3.307 b=3.307 c=6.590 alpha=90.00 beta=90.00 gamma=90.00
Element x y z (fractional)
1 Zr 0.000 0.000 0.237
2 Zr 0.000 0.000 0.763
3 Zn 0.500 0.500 0.500
4 Cr 0.500 0.500 0.000

Values from the calculation:
Its theoretical density is 6909 kg/m3. Its total magnetic moment is 0.960 μB per cell. As for the total energy: -7.045 eV per atom.